The following is a PBE+U calculation of crystalline VNiIrO6 at its relaxed geometry, from Alexandria.

abc: 4.9940 4.9940 8.9062
angles: 90.00 90.00 120.00
Last column: nearest neighbours and their distance in Å.
Fractional coordinates of all 18 atoms:
V 0.3333 0.6667 0.2500  6 O 1.91
V 0.6667 0.3333 0.7500  6 O 1.91
Ni 0.0000 0.0000 0.0000  6 O 2.09
Ni 0.0000 0.0000 0.5000  6 O 2.09
Ir 0.3333 0.6667 0.7500  6 O 1.98
Ir 0.6667 0.3333 0.2500  6 O 1.98
O 0.0114 0.3520 0.1319  1 V 1.91, 1 Ir 1.98, 1 Ni 2.09
O 0.0114 0.6594 0.3681  1 V 1.91, 1 Ir 1.98, 1 Ni 2.09
O 0.3406 0.3520 0.3681  1 V 1.91, 1 Ir 1.98, 1 Ni 2.09
O 0.3406 0.9886 0.1319  1 V 1.91, 1 Ir 1.98, 1 Ni 2.09
O 0.3520 0.0114 0.6319  1 V 1.91, 1 Ir 1.98, 1 Ni 2.09
O 0.3520 0.3406 0.8681  1 V 1.91, 1 Ir 1.98, 1 Ni 2.09
O 0.6480 0.6594 0.1319  1 V 1.91, 1 Ir 1.98, 1 Ni 2.09
O 0.6480 0.9886 0.3681  1 V 1.91, 1 Ir 1.98, 1 Ni 2.09
O 0.6594 0.0114 0.8681  1 V 1.91, 1 Ir 1.98, 1 Ni 2.09
O 0.6594 0.6480 0.6319  1 V 1.91, 1 Ir 1.98, 1 Ni 2.09
O 0.9886 0.3406 0.6319  1 V 1.91, 1 Ir 1.98, 1 Ni 2.09
O 0.9886 0.6480 0.8681  1 V 1.91, 1 Ir 1.98, 1 Ni 2.09

Values from the calculation:
D(E_F)	5.099	states/eV per cell
total magnetic moment	0.001	μB/atom
final energy	-117.67	eV for the cell shown
calculated volume	10.7	Å³ per atom